Version w
VASP calculation (PBE) on an optimized crystal structure of ZnIn2Te.

Lattice parameters (Å, degrees): 4.085 4.991 10.141 90.00 90.00 90.00
Space group Cmmm (No. 65)
Inequivalent atoms, fractional coordinates:
1 Zn 0.000 0.000 0.000 [2 per cell]
2 In 0.000 0.500 0.214 [4 per cell]
3 Te 0.000 0.000 0.500 [2 per cell]

**Crystal system**: orthorhombic

Version x
VASP calculation (PBE) on an optimized crystal structure of ZnIn2Te.

Lattice parameters (Å, degrees): 3.728 3.728 7.532 90.00 90.00 90.00
Space group P4mm (No. 99)
Inequivalent atoms, fractional coordinates:
1 Zn 0.000 0.000 0.000 [1 per cell]
2 In 0.000 0.000 0.516 [1 per cell]
3 In 0.500 0.500 0.223 [1 per cell]
4 Te 0.500 0.500 0.801 [1 per cell]

**Crystal system**: tetragonal

Version y
VASP calculation (PBE) on an optimized crystal structure of ZnIn2Te.

Lattice parameters (Å, degrees): 4.1237 4.1237 22.2428 90.00 90.00 120.00
Space group R3m (No. 160, hexagonal axes)
Inequivalent atoms, fractional coordinates:
1 Zn 0.0000 0.0000 0.0000 [3 per cell]
2 In 0.0000 0.0000 0.2569 [3 per cell]
3 In 0.0000 0.0000 0.4931 [3 per cell]
4 Te 0.0000 0.0000 0.7354 [3 per cell]

**Crystal system**: trigonal

Version z
VASP calculation (PBE) on an optimized crystal structure of ZnIn2Te.

Lattice parameters (Å, degrees): 4.654 4.654 10.024 90.00 90.00 90.00
Space group I-4m2 (No. 119)
Inequivalent atoms, fractional coordinates:
1 Zn 0.000 0.000 0.000 [2 per cell]
2 In 0.000 0.000 0.500 [2 per cell]
3 In 0.000 0.500 0.750 [2 per cell]
4 Te 0.000 0.500 0.250 [2 per cell]

**Crystal system**: tetragonal

So which one is most stable? That would be version y, about 83 meV per atom below the next structure.

Version w
VASP calculation (PBE) on an optimized crystal structure of ZnIn2Te.

Lattice parameters (Å, degrees): 5.054 5.054 8.724 90.00 90.00 90.00
Space group I4/mmm (No. 139)
Inequivalent atoms, fractional coordinates:
1 Zn 0.000 0.000 0.000 [2 per cell]
2 In 0.000 0.500 0.250 [4 per cell]
3 Te 0.000 0.000 0.500 [2 per cell]

**Crystal system**: tetragonal

Version x
VASP calculation (PBE) on an optimized crystal structure of ZnIn2Te.

Lattice parameters (Å, degrees): 6.745 10.565 3.197 90.00 109.68 90.00
Space group C2/m (No. 12)
Inequivalent atoms, fractional coordinates:
1 Zn 0.000 0.000 0.000 [2 per cell]
2 In 0.250 0.250 0.500 [4 per cell]
3 Te 0.000 0.500 0.000 [2 per cell]

**Crystal system**: monoclinic

So which one is most stable? That would be version w, about 19 meV per atom below the next structure.

Version w
VASP calculation (PBE) on an optimized crystal structure of ZnInTe.

Lattice parameters (Å, degrees): 4.189 6.245 12.295 90.00 90.00 90.00
Space group Fmm2 (No. 42)
Inequivalent atoms, fractional coordinates:
1 Zn 0.000 0.000 0.000 [4 per cell]
2 In 0.000 0.000 0.661 [4 per cell]
3 Te 0.000 0.000 0.360 [4 per cell]

**Crystal system**: orthorhombic

Version x
VASP calculation (PBE) on an optimized crystal structure of ZnInTe.

Lattice parameters (Å, degrees): 7.004 7.004 7.004 90.00 90.00 90.00
Space group F-43m (No. 216)
Inequivalent atoms, fractional coordinates:
1 Zn 0.000 0.000 0.000 [4 per cell]
2 In 0.250 0.250 0.250 [4 per cell]
3 Te 0.250 0.250 0.750 [4 per cell]

**Crystal system**: cubic

So which one is most stable? That would be version x, about 24 meV per atom below the next structure.